1.
Computed, not measured: KZrH2Pb after structural relaxation at the PBE level of DFT.

The space group is P4/mmm (No. 123) and the conventional cell measures 4.2567, 4.2567 and 7.4818 Å, with angles of 90.00, 90.00 and 90.00 degrees. The asymmetric unit holds K at (0.0000, 0.0000, 0.0000), Zr at (0.0000, 0.0000, 0.5000), H at (0.0000, 0.5000, 0.0000) and Pb at (0.5000, 0.5000, 0.5000).

The raw total energy comes out at -15.1 eV/cell. As for the density of states at the Fermi level: 0.357 states/eV/atom.



2.
Computed, not measured: KH2Pd after structural relaxation at the PBE level of DFT.

The space group is Fm-3m (No. 225) and the conventional cell measures 6.0954, 6.0954 and 6.0954 Å, with angles of 90.00, 90.00 and 90.00 degrees. The asymmetric unit holds K at (0.0000, 0.0000, 0.0000), H at (0.2500, 0.2500, 0.2500) and Pd at (0.0000, 0.0000, 0.5000).

The offset from the most stable computed form is 935 meV per atom. As for the density of states at the Fermi level: 0.587 states/eV/atom.



3.
Computed, not measured: K2H3Pd after structural relaxation at the PBE level of DFT.

The space group is C2/m (No. 12) and the conventional cell measures 13.2483, 3.8020 and 4.2934 Å, with angles of 90.00, 108.81 and 90.00 degrees. The asymmetric unit holds K at (0.1392, 0.0000, 0.1388), H at (0.0000, 0.0000, 0.5000), H at (0.1370, 0.5000, 0.6358) and Pd at (0.0000, 0.5000, 0.5000).

The offset from the most stable computed form is 0 meV per atom. As for the density of states at the Fermi level: 0.377 states/eV/atom.



4.
Computed, not measured: KH3Pd2 after structural relaxation at the PBE level of DFT.

The space group is Cmcm (No. 63) and the conventional cell measures 8.0746, 9.5787 and 5.4011 Å, with angles of 90.00, 90.00 and 90.00 degrees. The asymmetric unit holds K at (0.0000, 0.2000, 0.2500), H at (0.0000, 0.4956, 0.7500), H at (0.1962, 0.0254, 0.7500) and Pd at (0.1713, 0.5000, 0.0000).

The raw total energy comes out at -89.8 eV/cell. As for the density of states at the Fermi level: 0.026 states/eV/atom.